# Ba2LiBi2

Crystalline Ba2LiBi2 at its relaxed geometry (GGA-PBE, the Alexandria database).

Values from the calculation:
* space group: P4/mbm, No. 127
* crystal system: tetragonal

Lattice parameters (Å, degrees): 8.5696 8.5696 5.2607 90.00 90.00 90.00
Last column: nearest neighbours and their distance in Å.
Positions (direct):
Li 0.0000 0.0000 0.0000  4 Bi 3.36
Li 0.5000 0.5000 0.0000  4 Bi 3.36
Bi 0.3705 0.8705 0.0000  1 Bi 3.14, 2 Li 3.36
Bi 0.8705 0.6295 0.0000  1 Bi 3.14, 2 Li 3.36
Bi 0.6295 0.1295 0.0000  1 Bi 3.14, 2 Li 3.36
Bi 0.1295 0.3705 0.0000  1 Bi 3.14, 2 Li 3.36
Ba 0.1739 0.6739 0.5000  6 Bi 3.55-3.72
Ba 0.6739 0.8261 0.5000  6 Bi 3.55-3.72
Ba 0.8261 0.3261 0.5000  6 Bi 3.55-3.72
Ba 0.3261 0.1739 0.5000  6 Bi 3.55-3.72

# Sn2HgC

Crystalline Sn2HgC at its relaxed geometry (GGA-PBE, the Alexandria database).

Values from the calculation:
* space group: I-42d, No. 122
* crystal system: tetragonal

Lattice parameters (Å, degrees): 6.1416 6.1416 6.7163 62.79 62.79 90.00
Last column: nearest neighbours and their distance in Å.
Positions (direct):
C 0.5000 0.5000 0.0000  4 Sn 2.25
C 0.2500 0.7500 0.5000  4 Sn 2.25
Hg 0.0000 0.0000 0.0000  4 Sn 2.86
Hg 0.7500 0.2500 0.5000  4 Sn 2.86
Sn 0.5431 0.1250 0.2500  2 C 2.25
Sn 0.2069 0.6250 0.2500  2 C 2.25
Sn 0.3750 0.4569 0.7500  2 C 2.25
Sn 0.8750 0.7931 0.7500  2 C 2.25

# PuP4

Crystalline PuP4 at its relaxed geometry (GGA-PBE, the Alexandria database).

Values from the calculation:
* space group: Pm-3m, No. 221
* crystal system: cubic

Lattice parameters (Å, degrees): 4.9865 4.9865 4.9865 90.00 90.00 90.00
Last column: nearest neighbours and their distance in Å.
Positions (direct):
P 0.0000 0.0000 0.0000  12 P 3.53
P 0.5000 0.0000 0.5000  2 Pu 2.49
P 0.0000 0.5000 0.5000  2 Pu 2.49
P 0.5000 0.5000 0.0000  2 Pu 2.49
Pu 0.5000 0.5000 0.5000  6 P 2.49

Let's list E above lowest polymorph in order: 0.45 0.00 6.76 eV/f.u..
Let's list mass density in order: 6.01 7.73 4.93 g cm⁻³.
Let's list ΔH_f (0 K) in order: -0.69 0.67 1.03 eV per atom.